Entry 1:
DFT (PBE) results for a geometry-optimized Re2AgSe structure.

The structure in CIF format:
```
data_Re2AgSe
_symmetry_space_group_name_H-M 'C m m m'
_symmetry_Int_Tables_number 65
_symmetry_space_group_name_Hall '-C 2 2'
_cell_length_a 2.882
_cell_length_b 4.681
_cell_length_c 9.737
_cell_angle_alpha 90.00
_cell_angle_beta 90.00
_cell_angle_gamma 90.00
loop_
_atom_site_label
_atom_site_fract_x
_atom_site_fract_y
_atom_site_fract_z
Re1 0.000 0.000 0.244
Ag1 0.000 0.500 0.500
Se1 0.000 0.500 0.000
```

## Properties
* ΔE_f (raw): 0.938 eV/atom
* magnetization: 0.0 Bohr magnetons per cell



Entry 2:
DFT (PBE) results for a geometry-optimized La2YTi structure.

The structure in CIF format:
```
data_La2YTi
_symmetry_space_group_name_H-M 'P 4/m m m'
_symmetry_Int_Tables_number 123
_symmetry_space_group_name_Hall '-P 4 2'
_cell_length_a 3.568
_cell_length_b 3.568
_cell_length_c 9.398
_cell_angle_alpha 90.00
_cell_angle_beta 90.00
_cell_angle_gamma 90.00
loop_
_atom_site_label
_atom_site_fract_x
_atom_site_fract_y
_atom_site_fract_z
La1 0.000 0.000 0.223
Y1 0.500 0.500 0.500
Ti1 0.500 0.500 0.000
```

## Properties
* energy relative to the elements: 201.8 meV per atom
* energy relative to the lowest polymorph listed for this composition: 0.000 eV per atom
* magnetization: 0.0 Bohr magnetons per cell



Entry 3:
DFT (PBE) results for a geometry-optimized MgTi3 structure.

The structure in CIF format:
```
data_MgTi3
_symmetry_space_group_name_H-M 'P m -3 m'
_symmetry_Int_Tables_number 221
_symmetry_space_group_name_Hall '-P 4 2 3'
_cell_length_a 4.153
_cell_length_b 4.153
_cell_length_c 4.153
_cell_angle_alpha 90.00
_cell_angle_beta 90.00
_cell_angle_gamma 90.00
loop_
_atom_site_label
_atom_site_fract_x
_atom_site_fract_y
_atom_site_fract_z
Mg1 0.000 0.000 0.000
Ti1 0.000 0.500 0.500
```

## Properties
* energy relative to the elements: 157.8 meV per atom
* magnetization: 0.0 Bohr magnetons per cell



Entry 4:
DFT (PBE) results for a geometry-optimized In7AgHg12 structure.

The structure in CIF format:
```
data_In7AgHg12
_symmetry_space_group_name_H-M 'R -3'
_symmetry_Int_Tables_number 148
_symmetry_space_group_name_Hall '-R 3'
_cell_length_a 15.1409
_cell_length_b 15.1409
_cell_length_c 8.3267
_cell_angle_alpha 90.00
_cell_angle_beta 90.00
_cell_angle_gamma 120.00
loop_
_atom_site_label
_atom_site_fract_x
_atom_site_fract_y
_atom_site_fract_z
In1 0.0000 0.0000 0.0000
In2 0.0568 0.8860 0.2943
Ag1 0.0000 0.0000 0.5000
Hg1 0.0306 0.2910 0.4683
Hg2 0.0743 0.8379 0.8953
```

## Properties
* energy relative to the elements: 38.2 meV per atom
* magnetization: 0.0 Bohr magnetons per cell



no.,DFT total energy (eV per atom)
1,-6.8699
2,-5.8517
3,-6.1621
4,-1.2439